Record 1
Below is a geometry-optimized VAgSn2Mo structure, with properties calculated at the GGA-PBE level.

Cell lengths 5.0202, 4.9887, 5.0202 Å; angles 90.00, 90.00, 90.00 degrees
Last column: magnetic moment on the atom in μB.
Sites, in units of the cell vectors:
Mo 0.5000 0.5000 0.5000  3.35
Sn 0.0000 0.0000 0.5000  -0.06
Sn 0.5000 0.0000 0.0000  -0.04
Ag 0.0000 0.5000 0.0000  0.00
V 0.0000 0.0000 0.0000  0.56

- space-group type = P4/mmm (123)
- energy of formation (eV/atom) = 1.242


Record 2
Below is a geometry-optimized YBe5 structure, with properties calculated at the GGA-PBE level.

Cell lengths 4.8539, 4.8539, 3.9371 Å; angles 90.00, 90.00, 128.81 degrees
Sites, in units of the cell vectors:
Y 0.5000 0.5000 0.0000
Be 0.2507 0.7493 0.5000
Be 0.1819 0.8181 0.0000
Be 0.0000 0.0000 0.5000
Be 0.8181 0.1819 0.0000
Be 0.7493 0.2507 0.5000

- space-group type = Cmmm (65)
- energy of formation (eV/atom) = 0.244


Record 3
Below is a geometry-optimized Ac2CoGe structure, with properties calculated at the GGA-PBE level.

Cell lengths 3.9138, 5.3240, 5.3240 Å; angles 90.00, 90.00, 90.00 degrees
Last column: magnetic moment on the atom in μB.
Sites, in units of the cell vectors:
Ac 0.0000 0.0000 0.5000  -0.07
Ac 0.0000 0.5000 0.0000  -0.07
Co 0.5000 0.0000 0.0000  1.40
Ge 0.5000 0.5000 0.5000  0.08

- space-group type = P4/mmm (123)
- energy of formation (eV/atom) = -0.140


Record 4
Below is a geometry-optimized TaTiZnMo structure, with properties calculated at the GGA-PBE level.

Cell lengths 4.5145, 4.5145, 4.5145 Å; angles 60.00, 60.00, 60.00 degrees
Sites, in units of the cell vectors:
Mo 0.0000 0.0000 0.0000
Ti 0.2500 0.2500 0.2500
Zn 0.5000 0.5000 0.5000
Ta 0.7500 0.7500 0.7500

- space-group type = F-43m (216)
- energy of formation (eV/atom) = -0.062


Question: energy of formation of number 3 (Ac2CoGe)?
Answer: -0.140 eV/atom


Question: Which formula does entry 3 have?
Answer: Ac2CoGe